Entry 1:
Entry from Alexandria: a relaxed MoPtBr2 crystal (PBE). Values from VASP.

Summary:
ΔE_f (raw): 0.951 eV per atom
DOS(E_F): 1.091 states/eV per atom
E above lowest polymorph: 943 meV per atom
M_tot: 3.39 μB/cell
space group: P4/mmm (123)

Geometry as Quantum ESPRESSO input:
```
&SYSTEM
  ibrav = 0, nat = 4, ntyp = 3
/
ATOMIC_SPECIES
Mo 95.94 Mo.upf
Br 79.90 Br.upf
Pt 195.08 Pt.upf
CELL_PARAMETERS angstrom
4.563 0.000 0.000
0.000 4.563 0.000
0.000 0.000 3.755
ATOMIC_POSITIONS crystal
Mo 0.500 0.000 0.500
Br 0.000 0.000 0.000
Br 0.500 0.500 0.000
Pt 0.000 0.500 0.500
```

Entry 2:
Entry from Alexandria: a relaxed Mo2PtBr crystal (PBE). Values from VASP.

Summary:
ΔE_f (raw): 0.508 eV per atom
DOS(E_F): 0.906 states/eV per atom
E above lowest polymorph: 223 meV per atom
M_tot: 0.00 μB/cell
space group: Pmm2 (25)

Geometry as Quantum ESPRESSO input:
```
&SYSTEM
  ibrav = 0, nat = 4, ntyp = 3
/
ATOMIC_SPECIES
Mo 95.94 Mo.upf
Br 79.90 Br.upf
Pt 195.08 Pt.upf
CELL_PARAMETERS angstrom
2.843 0.000 0.000
0.000 4.085 0.000
0.000 0.000 6.289
ATOMIC_POSITIONS crystal
Mo 0.000 0.000 0.024
Mo 0.500 0.500 0.220
Br 0.500 0.500 0.815
Pt 0.000 0.000 0.441
```

Entry 3:
Entry from Alexandria: a relaxed MoPtBr2 crystal (PBE). Values from VASP.

Summary:
ΔE_f (raw): 0.843 eV per atom
DOS(E_F): 0.131 states/eV per atom
E above lowest polymorph: 835 meV per atom
M_tot: 2.02 μB/cell
space group: I-4m2 (119)

Geometry as Quantum ESPRESSO input:
```
&SYSTEM
  ibrav = 0, nat = 4, ntyp = 3
/
ATOMIC_SPECIES
Mo 95.94 Mo.upf
Br 79.90 Br.upf
Pt 195.08 Pt.upf
CELL_PARAMETERS angstrom
4.805 -0.015 0.000
0.015 4.805 0.000
-2.410 -2.395 3.388
ATOMIC_POSITIONS crystal
Mo 0.500 0.500 0.000
Br 0.000 0.000 0.000
Br 0.250 0.750 0.500
Pt 0.750 0.250 0.500
```

Entry 4:
Entry from Alexandria: a relaxed Mo2PtBr crystal (PBE). Values from VASP.

Summary:
ΔE_f (raw): 0.914 eV per atom
DOS(E_F): 1.399 states/eV per atom
E above lowest polymorph: 629 meV per atom
M_tot: 1.15 μB/cell
space group: F-43m (216)

Geometry as Quantum ESPRESSO input:
```
&SYSTEM
  ibrav = 0, nat = 4, ntyp = 3
/
ATOMIC_SPECIES
Mo 95.94 Mo.upf
Br 79.90 Br.upf
Pt 195.08 Pt.upf
CELL_PARAMETERS angstrom
4.585 0.000 0.000
2.293 3.971 0.000
2.293 1.324 3.744
ATOMIC_POSITIONS crystal
Mo 0.000 0.000 0.000
Mo 0.250 0.250 0.250
Br 0.500 0.500 0.500
Pt 0.750 0.750 0.750
```

Entry 5:
Entry from Alexandria: a relaxed Rb2MoPtBr6 crystal (PBE). Values from VASP.

Summary:
ΔE_f (raw): -0.740 eV per atom
DOS(E_F): 0.269 states/eV per atom
M_tot: 3.70 μB/cell
space group: I4/mmm (139)

Geometry as Quantum ESPRESSO input:
```
&SYSTEM
  ibrav = 0, nat = 10, ntyp = 4
/
ATOMIC_SPECIES
Mo 95.94 Mo.upf
Br 79.90 Br.upf
Rb 85.47 Rb.upf
Pt 195.08 Pt.upf
CELL_PARAMETERS angstrom
7.374 0.000 0.000
0.000 7.374 0.000
3.687 3.687 5.975
ATOMIC_POSITIONS crystal
Mo 0.500 0.500 0.000
Br 0.282 0.282 0.437
Br 0.718 0.718 0.563
Br 0.244 0.244 0.000
Br 0.756 0.756 0.000
Br 0.756 0.244 0.000
Br 0.244 0.756 0.000
Rb 0.750 0.250 0.500
Rb 0.250 0.750 0.500
Pt 0.000 0.000 0.000
```

Entry 6:
Entry from Alexandria: a relaxed MoPtSe2Br crystal (PBE). Values from VASP.

Summary:
ΔE_f (raw): 0.735 eV per atom
DOS(E_F): 1.379 states/eV per atom
E above lowest polymorph: 0 meV per atom
M_tot: 0.00 μB/cell
space group: P4/mmm (123)

Geometry as Quantum ESPRESSO input:
```
&SYSTEM
  ibrav = 0, nat = 5, ntyp = 4
/
ATOMIC_SPECIES
Mo 95.94 Mo.upf
Se 78.96 Se.upf
Br 79.90 Br.upf
Pt 195.08 Pt.upf
CELL_PARAMETERS angstrom
4.871 0.000 0.000
0.000 4.871 0.000
0.000 0.000 5.040
ATOMIC_POSITIONS crystal
Mo 0.000 0.000 0.000
Se 0.000 0.500 0.000
Se 0.500 0.000 0.000
Br 0.000 0.000 0.500
Pt 0.500 0.500 0.500
```

Entry 7:
Entry from Alexandria: a relaxed Si2MoPtBr crystal (PBE). Values from VASP.

Summary:
ΔE_f (raw): 1.028 eV per atom
DOS(E_F): 0.697 states/eV per atom
M_tot: 0.00 μB/cell
space group: P4/mmm (123)

Geometry as Quantum ESPRESSO input:
```
&SYSTEM
  ibrav = 0, nat = 5, ntyp = 4
/
ATOMIC_SPECIES
Mo 95.94 Mo.upf
Si 28.09 Si.upf
Br 79.90 Br.upf
Pt 195.08 Pt.upf
CELL_PARAMETERS angstrom
-1.340 -3.674 -2.820
4.303 -1.940 0.482
-1.526 -2.422 3.880
ATOMIC_POSITIONS crystal
Mo 0.000 0.000 0.000
Si 0.000 0.000 0.500
Si 0.500 0.000 0.000
Br 0.000 0.500 0.000
Pt 0.500 0.500 0.500
```

Entry 8:
Entry from Alexandria: a relaxed RbMo2Br crystal (PBE). Values from VASP.

Summary:
ΔE_f (raw): 1.227 eV per atom
DOS(E_F): 1.227 states/eV per atom
E above lowest polymorph: 0 meV per atom
M_tot: 0.00 μB/cell
space group: I-42d (122)

Geometry as Quantum ESPRESSO input:
```
&SYSTEM
  ibrav = 0, nat = 8, ntyp = 3
/
ATOMIC_SPECIES
Mo 95.94 Mo.upf
Br 79.90 Br.upf
Rb 85.47 Rb.upf
CELL_PARAMETERS angstrom
4.685 0.000 0.000
0.000 4.685 0.000
2.343 2.343 10.256
ATOMIC_POSITIONS crystal
Mo 0.336 0.125 0.250
Mo 0.414 0.625 0.250
Mo 0.375 0.664 0.750
Mo 0.875 0.586 0.750
Br 0.500 0.500 0.000
Br 0.250 0.750 0.500
Rb 0.000 0.000 0.000
Rb 0.750 0.250 0.500
```

Entry 9:
Entry from Alexandria: a relaxed RbMoBr6 crystal (PBE). Values from VASP.

Summary:
ΔE_f (raw): -0.774 eV per atom
DOS(E_F): 0.761 states/eV per atom
E above lowest polymorph: 16 meV per atom
M_tot: 1.00 μB/cell
space group: C2/m (12)

Geometry as Quantum ESPRESSO input:
```
&SYSTEM
  ibrav = 0, nat = 8, ntyp = 3
/
ATOMIC_SPECIES
Rb 85.47 Rb.upf
Mo 95.94 Mo.upf
Br 79.90 Br.upf
CELL_PARAMETERS angstrom
-1.469 -5.408 3.663
6.331 1.081 1.888
-0.902 2.757 6.114
ATOMIC_POSITIONS crystal
Rb 0.500 0.500 0.500
Mo 0.000 0.000 0.000
Br 0.072 0.726 0.272
Br 0.726 0.072 0.272
Br 0.274 0.928 0.728
Br 0.928 0.274 0.728
Br 0.274 0.274 0.066
Br 0.726 0.726 0.934
```

Entry 10:
Entry from Alexandria: a relaxed RbMoBr4 crystal (PBE). Values from VASP.

Summary:
ΔE_f (raw): -0.912 eV per atom
M_tot: 4.00 μB/cell
space group: P-1 (2)

Geometry as Quantum ESPRESSO input:
```
&SYSTEM
  ibrav = 0, nat = 12, ntyp = 3
/
ATOMIC_SPECIES
Rb 85.47 Rb.upf
Mo 95.94 Mo.upf
Br 79.90 Br.upf
CELL_PARAMETERS angstrom
5.943 -0.667 -1.921
-1.596 6.885 -3.504
-0.279 0.326 9.867
ATOMIC_POSITIONS crystal
Rb 0.184 0.212 0.382
Rb 0.816 0.788 0.618
Mo 0.242 0.485 0.906
Mo 0.758 0.515 0.094
Br 0.865 0.238 0.621
Br 0.558 0.769 0.186
Br 0.949 0.692 0.963
Br 0.345 0.665 0.758
Br 0.135 0.762 0.379
Br 0.442 0.231 0.814
Br 0.051 0.308 0.037
Br 0.655 0.335 0.242
```

Entry 11:
Entry from Alexandria: a relaxed RbMoBr6 crystal (PBE). Values from VASP.

Summary:
ΔE_f (raw): -0.790 eV per atom
DOS(E_F): 0.723 states/eV per atom
E above lowest polymorph: 0 meV per atom
M_tot: 2.00 μB/cell
space group: C2/c (15)

Geometry as Quantum ESPRESSO input:
```
&SYSTEM
  ibrav = 0, nat = 16, ntyp = 3
/
ATOMIC_SPECIES
Rb 85.47 Rb.upf
Mo 95.94 Mo.upf
Br 79.90 Br.upf
CELL_PARAMETERS angstrom
7.032 -0.480 0.405
1.497 6.888 0.405
0.413 0.310 12.299
ATOMIC_POSITIONS crystal
Rb 0.999 0.001 0.250
Rb 0.001 0.999 0.750
Mo 0.000 0.500 0.500
Mo 0.500 0.000 0.000
Br 0.289 0.647 0.426
Br 0.711 0.353 0.574
Br 0.353 0.711 0.074
Br 0.647 0.289 0.926
Br 0.899 0.500 0.307
Br 0.101 0.500 0.693
Br 0.500 0.101 0.193
Br 0.500 0.899 0.807
Br 0.170 0.193 0.985
Br 0.830 0.807 0.015
Br 0.807 0.830 0.515
Br 0.193 0.170 0.485
```

Entry 12:
Entry from Alexandria: a relaxed Rb3MoBr crystal (PBE). Values from VASP.

Summary:
ΔE_f (raw): 0.341 eV per atom
DOS(E_F): 0.471 states/eV per atom
E above lowest polymorph: 0 meV per atom
M_tot: 5.73 μB/cell
space group: Pm-3m (221)

Geometry as Quantum ESPRESSO input:
```
&SYSTEM
  ibrav = 0, nat = 5, ntyp = 3
/
ATOMIC_SPECIES
Mo 95.94 Mo.upf
Br 79.90 Br.upf
Rb 85.47 Rb.upf
CELL_PARAMETERS angstrom
6.608 0.000 0.000
0.000 6.608 0.000
0.000 0.000 6.608
ATOMIC_POSITIONS crystal
Mo 0.500 0.500 0.500
Br 0.000 0.000 0.000
Rb 0.000 0.500 0.000
Rb 0.000 0.000 0.500
Rb 0.500 0.000 0.000
```

Entry 13:
Entry from Alexandria: a relaxed Rb3MoBr6 crystal (PBE). Values from VASP.

Summary:
ΔE_f (raw): -1.225 eV per atom
DOS(E_F): 0.000 states/eV per atom
E above lowest polymorph: 39 meV per atom
M_tot: 3.00 μB/cell
space group: Fm-3m (225)

Geometry as Quantum ESPRESSO input:
```
&SYSTEM
  ibrav = 0, nat = 10, ntyp = 3
/
ATOMIC_SPECIES
Mo 95.94 Mo.upf
Br 79.90 Br.upf
Rb 85.47 Rb.upf
CELL_PARAMETERS angstrom
-1.316 -0.166 -8.144
-7.954 -1.755 1.321
-5.878 4.739 -3.327
ATOMIC_POSITIONS crystal
Mo 0.000 0.000 0.000
Br 0.223 0.223 0.553
Br 0.777 0.777 0.447
Br 0.223 0.223 0.000
Br 0.777 0.777 0.000
Br 0.777 0.223 0.000
Br 0.223 0.777 0.000
Rb 0.500 0.500 0.000
Rb 0.750 0.250 0.500
Rb 0.250 0.750 0.500
```

Entry 14:
Entry from Alexandria: a relaxed Rb3MoBr6 crystal (PBE). Values from VASP.

Summary:
ΔE_f (raw): -1.258 eV per atom
DOS(E_F): 0.000 states/eV per atom
E above lowest polymorph: 6 meV per atom
M_tot: 6.00 μB/cell
space group: R-3 (148)

Geometry as Quantum ESPRESSO input:
```
&SYSTEM
  ibrav = 0, nat = 20, ntyp = 3
/
ATOMIC_SPECIES
Rb 85.47 Rb.upf
Mo 95.94 Mo.upf
Br 79.90 Br.upf
CELL_PARAMETERS angstrom
-7.160 5.883 -1.584
-4.218 -6.643 -5.145
-4.244 -3.201 7.754
ATOMIC_POSITIONS crystal
Rb 0.434 0.926 0.756
Rb 0.926 0.756 0.434
Rb 0.244 0.566 0.074
Rb 0.756 0.434 0.926
Rb 0.074 0.244 0.566
Rb 0.566 0.074 0.244
Mo 0.000 0.000 0.000
Mo 0.500 0.500 0.500
Br 0.260 0.937 0.084
Br 0.063 0.916 0.740
Br 0.560 0.769 0.451
Br 0.916 0.740 0.063
Br 0.451 0.560 0.769
Br 0.231 0.549 0.440
Br 0.769 0.451 0.560
Br 0.549 0.440 0.231
Br 0.084 0.260 0.937
Br 0.440 0.231 0.549
Br 0.937 0.084 0.260
Br 0.740 0.063 0.916
```